No. 1
An optimized crystal structure of DyTh2Co6. Source: Alexandria, functional PBE-GGA.

a = 6.8116 Å, b = 6.8116 Å, c = 3.9761 Å
α = 90.00°, β = 90.00°, γ = 120.00°
Space group P6/mmm (No. 191)
Unique sites:
Dy 0.0000 0.0000 0.0000
Th 0.3333 0.6667 0.0000
Co 0.0000 0.3331 0.5000

DOS(E_F) ... 1.31 states/eV/atom
Calculated total energy ... -7.112 eV per atom
Total moment ... 2.32 μB/f.u.

***

No. 2
An optimized crystal structure of Dy2TmSc2. Source: Alexandria, functional PBE-GGA.

a = 13.9266 Å, b = 6.8913 Å, c = 5.9645 Å
α = 90.00°, β = 98.16°, γ = 90.00°
Space group P2_1/c (No. 14)
Unique sites:
Dy 0.0997 0.1243 0.1197
Dy 0.3038 0.6268 0.8544
Tm 0.3043 0.1243 0.8500
Sc 0.1001 0.6255 0.1149
Sc 0.4996 0.1244 0.2495

DOS(E_F) ... 1.58 states/eV/atom
Calculated total energy ... -5.226 eV per atom
Total moment ... 0.00 μB/f.u.

***

No. 3
An optimized crystal structure of Sr2GePb. Source: Alexandria, functional PBE-GGA.

a = 4.0380 Å, b = 4.0380 Å, c = 7.8588 Å
α = 90.00°, β = 90.00°, γ = 90.00°
Space group P4/mmm (No. 123)
Unique sites:
Sr 0.0000 0.0000 0.2281
Ge 0.5000 0.5000 0.0000
Pb 0.5000 0.5000 0.5000

DOS(E_F) ... 0.66 states/eV/atom
Calculated total energy ... -3.371 eV per atom
Total moment ... 0.00 μB/f.u.

***

No. 4
An optimized crystal structure of Sn3AsSe2. Source: Alexandria, functional PBE-GGA.

a = 7.3657 Å, b = 12.5810 Å, c = 7.2693 Å
α = 90.00°, β = 109.30°, γ = 90.00°
Space group C2/c (No. 15)
Unique sites:
Sn 0.2342 0.0783 0.4948
Sn 0.2500 0.2500 0.0000
As 0.0000 0.0851 0.7500
Se 0.0000 0.2471 0.2500
Se 0.0000 0.4151 0.7500

DOS(E_F) ... 0.52 states/eV/atom
Calculated total energy ... -4.219 eV per atom
Formation energy (no corrections) ... -0.281 eV per atom
Total moment ... 0.00 μB/f.u.

***

No. 5
An optimized crystal structure of Nd2CuPt3. Source: Alexandria, functional PBE-GGA.

a = 5.5943 Å, b = 5.5943 Å, c = 12.8500 Å
α = 90.00°, β = 90.00°, γ = 120.00°
Space group R-3m (No. 166, hexagonal axes)
Unique sites:
Nd 0.0000 0.0000 0.1257
Cu 0.0000 0.0000 0.5000
Pt 0.0000 0.5000 0.0000

DOS(E_F) ... 0.60 states/eV/atom
Calculated total energy ... -6.173 eV per atom
Total moment ... 0.00 μB/f.u.

***

No. 6
An optimized crystal structure of Tm7Te2Ru2. Source: Alexandria, functional PBE-GGA.

a = 3.9136 Å, b = 15.6115 Å, c = 9.2468 Å
α = 90.00°, β = 90.00°, γ = 90.00°
Space group Imm2 (No. 44)
Unique sites:
Tm 0.0000 0.0000 0.0000
Tm 0.0000 0.1341 0.4193
Tm 0.0000 0.3157 0.6283
Tm 0.0000 0.3502 0.2631
Te 0.0000 0.0000 0.6645
Te 0.0000 0.5000 0.7675
Ru 0.0000 0.2376 0.9332

DOS(E_F) ... 0.82 states/eV/atom
Calculated total energy ... -5.829 eV per atom
Formation energy (no corrections) ... -0.726 eV per atom
Total moment ... 0.00 μB/f.u.

***

No. 7
An optimized crystal structure of Ac2Ce3NdSe6. Source: Alexandria, functional PBE-GGA.

a = 18.7959 Å, b = 4.2822 Å, c = 8.6554 Å
α = 90.00°, β = 103.80°, γ = 90.00°
Space group C2/m (No. 12)
Unique sites:
Ac 0.1649 0.0000 0.3310
Ce 0.0000 0.5000 0.5000
Ce 0.1677 0.0000 0.8346
Nd 0.0000 0.5000 0.0000
Se 0.0049 0.0000 0.7516
Se 0.1637 0.5000 0.5925
Se 0.1661 0.5000 0.0716

DOS(E_F) ... 1.71 states/eV/atom
Calculated total energy ... -6.133 eV per atom
Formation energy (no corrections) ... -1.825 eV per atom
Total moment ... 3.34 μB/f.u.

***

No. 8
An optimized crystal structure of CaMg2Si. Source: Alexandria, functional PBE-GGA.

a = 4.3774 Å, b = 4.3774 Å, c = 4.6322 Å
α = 90.00°, β = 90.00°, γ = 90.00°
Space group P4/mmm (No. 123)
Unique sites:
Ca 0.0000 0.0000 0.0000
Mg 0.0000 0.5000 0.5000
Si 0.5000 0.5000 0.0000

DOS(E_F) ... 0.38 states/eV/atom
Calculated total energy ... -2.782 eV per atom
Formation energy (no corrections) ... -0.128 eV per atom
Total moment ... 0.00 μB/f.u.